PmPr2Sm2Y: optimized geometry, GGA-PBE.

Results
- DOS(E_F) (states/eV/atom) = 1.56
- space-group type = No. 51
- E_tot (eV/atom) = -4.984
- calculated volume (Å³ per atom) = 34.264
- formation energy (eV per atom) = 0.05

abc: 7.1442 5.7680 9.9780
angles: 90.00 90.00 90.00
Last column: nearest neighbours and their distance in Å.
Atoms (fractional coordinates):
Pm 0.2500 0.0000 0.1607  5 Sm 3.28-3.57
Pm 0.7500 0.0000 0.8393  5 Sm 3.28-3.57
Pr 0.0000 0.0000 0.5000  6 Pr 3.57-3.81, 6 Sm 3.77, 2 Pm 3.83
Pr 0.2500 0.5000 0.6741  5 Sm 3.29-3.57
Pr 0.5000 0.0000 0.5000  6 Pr 3.57-3.81, 6 Sm 3.77, 2 Pm 3.83
Pr 0.7500 0.5000 0.3259  5 Sm 3.29-3.57
Sm 0.2500 0.0000 0.8323  3 Pm 3.28-3.57, 2 Pr 3.29
Sm 0.2500 0.5000 0.3352  2 Pm 3.37, 7 Pr 3.38-3.77
Sm 0.7500 0.0000 0.1677  3 Pm 3.28-3.57, 2 Pr 3.29
Sm 0.7500 0.5000 0.6648  2 Pm 3.37, 7 Pr 3.38-3.77
Y 0.0000 0.5000 0.0000  2 Y 3.57, 2 Pr 3.71, 4 Pm 3.75, 6 Sm 3.78-3.79
Y 0.5000 0.5000 0.0000  2 Y 3.57, 2 Pr 3.71, 4 Pm 3.75, 6 Sm 3.78-3.79